# 1
The following is a DFT calculation (PBE-GGA) of CsGdBr3 after structural relaxation.

* V: 194.6 Å³/cell
* formation energy (no corrections): -1679 meV/atom
* ρ: 4.5 g cm⁻³

a = 5.7954 Å, b = 5.7954 Å, c = 5.7954 Å
α = 90.00°, β = 90.00°, γ = 90.00°
Space group Pm-3m (No. 221)
Symmetry-distinct sites (fractional):
Cs 0.0000 0.0000 0.0000 [1 per cell]
Gd 0.5000 0.5000 0.5000 [1 per cell]
Br 0.0000 0.5000 0.5000 [3 per cell]


# 2
The following is a DFT calculation (PBE-GGA) of TbZr2In after structural relaxation.

* excess energy over the best structure of this formula in the dataset: 0.76 eV per formula unit
* V: 381.1 Å³/cell
* E_form: -0.022 eV/atom
* ρ: 8.0 g cm⁻³

a = 7.2499 Å, b = 7.2499 Å, c = 7.2499 Å
α = 90.00°, β = 90.00°, γ = 90.00°
Space group Fm-3m (No. 225)
Symmetry-distinct sites (fractional):
Tb 0.0000 0.0000 0.0000 [4 per cell]
Zr 0.2500 0.2500 0.2500 [8 per cell]
In 0.0000 0.0000 0.5000 [4 per cell]